! FeSiN2F PBE with a Hubbard U optimized geometry; values from VASP
! DOS(E_F) = 2.0 states/eV per cell
! energy above the most stable polymorph in this dataset = 955 meV per atom
! uncorrected energy = -5.3085 eV/atom
! V = 58.0 Å³/cell
&SYSTEM
  ibrav = 0, nat = 5, ntyp = 4
/
ATOMIC_SPECIES
N 14.01 N.upf
Si 28.09 Si.upf
F 19.00 F.upf
Fe 55.84 Fe.upf
CELL_PARAMETERS angstrom
3.8484 0.0000 0.0000
0.0000 3.8484 0.0000
0.0000 0.0000 3.9174
ATOMIC_POSITIONS crystal
N 0.0000 0.5000 0.0000
N 0.5000 0.0000 0.0000
Si 0.5000 0.5000 0.5000
F 0.0000 0.0000 0.5000
Fe 0.0000 0.0000 0.0000